BeNiIrO5: optimized geometry, PBE with a Hubbard U.

Calculated values
V: 10.4 A^3/atom
total magnetization: 2.45 Bohr magnetons per cell
N(E_F): 8.4 states/eV/cell
uncorrected energy: -97.5 eV for the cell shown
symmetry: C2/c

a = 5.271 Å, b = 5.271 Å, c = 7.022 Å
α = 104.30°, β = 104.30°, γ = 109.69°
Sites, in units of the cell vectors:
Be: 0.694 0.306 0.250
Be: 0.306 0.694 0.750
Ni: 0.325 0.675 0.250
Ni: 0.675 0.325 0.750
Ir: 0.000 0.000 0.500
Ir: 0.000 0.000 0.000
O: 0.094 0.906 0.250
O: 0.906 0.094 0.750
O: 0.941 0.336 0.144
O: 0.059 0.664 0.856
O: 0.664 0.059 0.356
O: 0.336 0.941 0.644
O: 0.740 0.607 0.421
O: 0.260 0.393 0.579
O: 0.393 0.260 0.079
O: 0.607 0.740 0.921